(1)
Density functional theory data (GGA-PBE) for crystalline CaPrZn10 at its relaxed geometry.

Lattice parameters (Å, degrees): 4.2715 5.3813 9.3504 90.00 90.00 90.00
Closest atoms and distances in Å follow each position.
Atoms (fractional coordinates):
Zn: 0.5000 0.2467 0.2457  8 Zn 2.62-2.73
Zn: 0.5000 0.7533 0.7543  8 Zn 2.62-2.73
Zn: 0.0000 0.5000 0.8259  6 Zn 2.62-2.69
Pr: 0.0000 0.0000 0.0000  18 Zn 3.14-3.44
Zn: 0.5000 0.5000 0.0000  8 Zn 2.67-2.69
Zn: 0.0000 0.0000 0.6613  6 Zn 2.61-2.66
Zn: 0.5000 0.0000 0.5000  8 Zn 2.61-2.72
Ca: 0.0000 0.5000 0.5000  6 Zn 3.05-3.08
Zn: 0.5000 0.2467 0.7543  8 Zn 2.62-2.73
Zn: 0.0000 0.0000 0.3387  6 Zn 2.61-2.66
Zn: 0.0000 0.5000 0.1741  6 Zn 2.62-2.69
Zn: 0.5000 0.7533 0.2457  8 Zn 2.62-2.73

Summary:
E = -22.6 eV per cell
total moment = 0.0 μB per cell
space-group type = Pmmm, No. 47


(2)
Density functional theory data (GGA-PBE) for crystalline ErMgCoHg at its relaxed geometry.

Lattice parameters (Å, degrees): 4.8236 4.8236 4.8236 60.00 60.00 60.00
Closest atoms and distances in Å follow each position.
Atoms (fractional coordinates):
Mg: 0.0000 0.0000 0.0000  4 Co 2.95, 4 Hg 2.95
Hg: 0.7500 0.7500 0.7500  4 Mg 2.95, 4 Er 2.95
Co: 0.2500 0.2500 0.2500  4 Er 2.95, 4 Mg 2.95
Er: 0.5000 0.5000 0.5000  4 Hg 2.95, 4 Co 2.95

Summary:
E = -14.0 eV per cell
total moment = 1.2 μB per cell
space-group type = F-43m, No. 216


(3)
Density functional theory data (GGA-PBE) for crystalline Tl3HgRh at its relaxed geometry.

Lattice parameters (Å, degrees): 6.3991 10.9348 7.3441 90.00 90.00 90.00
Closest atoms and distances in Å follow each position.
Atoms (fractional coordinates):
Tl: 0.4491 0.6087 0.6234  2 Rh 2.90-2.95, 2 Hg 3.03-3.24, 2 Tl 3.06-3.09
Tl: 0.5509 0.1087 0.3766  2 Rh 2.90-2.95, 2 Hg 3.03-3.24, 2 Tl 3.06-3.09
Tl: 0.9491 0.6087 0.8766  2 Rh 2.90-2.95, 2 Hg 3.03-3.24, 2 Tl 3.06-3.09
Rh: 0.9261 0.2500 0.4475  6 Tl 2.79-2.95, 2 Hg 2.80
Tl: 0.7497 0.7500 0.2987  2 Rh 2.79-2.81
Tl: 0.2497 0.7500 0.2013  2 Rh 2.79-2.81
Tl: 0.9491 0.8913 0.8766  2 Rh 2.90-2.95, 2 Hg 3.03-3.24, 2 Tl 3.06-3.09
Rh: 0.0739 0.7500 0.5525  6 Tl 2.79-2.95, 2 Hg 2.80
Tl: 0.0509 0.1087 0.1234  2 Rh 2.90-2.95, 2 Hg 3.03-3.24, 2 Tl 3.06-3.09
Tl: 0.0509 0.3913 0.1234  2 Rh 2.90-2.95, 2 Hg 3.03-3.24, 2 Tl 3.06-3.09
Tl: 0.2503 0.2500 0.7013  2 Rh 2.79-2.81
Hg: 0.0000 0.0000 0.5000  2 Rh 2.80, 2 Tl 3.03
Rh: 0.5739 0.7500 0.9475  6 Tl 2.79-2.95, 2 Hg 2.80
Hg: 0.5000 0.5000 0.0000  2 Rh 2.80, 2 Tl 3.03
Hg: 0.5000 0.0000 0.0000  2 Rh 2.80, 2 Tl 3.03
Rh: 0.4261 0.2500 0.0525  6 Tl 2.79-2.95, 2 Hg 2.80
Tl: 0.4491 0.8913 0.6234  2 Rh 2.90-2.95, 2 Hg 3.03-3.24, 2 Tl 3.06-3.09
Tl: 0.5509 0.3913 0.3766  2 Rh 2.90-2.95, 2 Hg 3.03-3.24, 2 Tl 3.06-3.09
Hg: 0.0000 0.5000 0.5000  2 Rh 2.80, 2 Tl 3.03
Tl: 0.7503 0.2500 0.7987  2 Rh 2.79-2.81

Summary:
E = -57.2 eV per cell
relative energy among the computed polymorphs = 113 meV/atom
total moment = 0.0 μB per cell
space-group type = Pnma, No. 62


(4)
Density functional theory data (GGA-PBE) for crystalline Ba2CdSn3 at its relaxed geometry.

Lattice parameters (Å, degrees): 7.0693 7.0693 9.9468 111.38 111.38 88.51
Closest atoms and distances in Å follow each position.
Atoms (fractional coordinates):
Ba: 0.2500 0.7500 0.5000  8 Sn 3.80-3.81, 4 Cd 3.81
Sn: 0.1687 0.1687 0.3375  1 Cd 2.82, 2 Sn 2.91
Ba: 0.7500 0.2500 0.5000  8 Sn 3.80-3.81, 4 Cd 3.81
Sn: 0.6604 0.1715 0.8319  1 Cd 2.79, 2 Sn 2.88-2.91
Sn: 0.1715 0.6604 0.8319  1 Cd 2.79, 2 Sn 2.88-2.91
Sn: 0.8313 0.8313 0.6625  1 Cd 2.82, 2 Sn 2.91
Sn: 0.3396 0.8285 0.1681  1 Cd 2.79, 2 Sn 2.88-2.91
Cd: 0.6665 0.6665 0.3330  3 Sn 2.79-2.82
Cd: 0.3335 0.3335 0.6670  3 Sn 2.79-2.82
Ba: 0.7598 0.7598 0.0000  10 Sn 3.78-3.85, 2 Cd 3.88
Ba: 0.2402 0.2402 0.0000  10 Sn 3.78-3.85, 2 Cd 3.88
Sn: 0.8285 0.3396 0.1681  1 Cd 2.79, 2 Sn 2.88-2.91

Summary:
E = -39.9 eV per cell
relative energy among the computed polymorphs = 19 meV/atom
total moment = 0.0 μB per cell
space-group type = Fmmm, No. 69


(5)
Density functional theory data (GGA-PBE) for crystalline La2Er2Pb2C at its relaxed geometry.

Lattice parameters (Å, degrees): 4.8737 4.8737 9.1236 105.49 105.49 90.00
Closest atoms and distances in Å follow each position.
Atoms (fractional coordinates):
C: 0.0000 0.0000 0.0000  4 Er 2.44, 2 La 2.68
Er: 0.5000 0.0000 0.0000  2 C 2.44
Er: 0.0000 0.5000 0.0000  2 C 2.44
Pb: 0.3653 0.3653 0.7306  4 Er 3.33, 5 La 3.47-3.49
La: 0.8411 0.8411 0.6823  1 C 2.68
La: 0.1589 0.1589 0.3177  1 C 2.68
Pb: 0.6347 0.6347 0.2694  4 Er 3.33, 5 La 3.47-3.49

Summary:
E = -40.1 eV per cell
total moment = 0.0 μB per cell
space-group type = I4/mmm, No. 139


(6)
Density functional theory data (GGA-PBE) for crystalline CsPr2MnTe4 at its relaxed geometry.

Lattice parameters (Å, degrees): 4.5489 8.4011 15.9540 90.00 90.00 105.71
Closest atoms and distances in Å follow each position.
Atoms (fractional coordinates):
Te: 0.4251 0.8501 0.7500  2 Mn 2.73
Te: 0.0000 0.0000 0.0000  4 Pr 3.25
Te: 0.7375 0.4750 0.6116  1 Mn 2.68
Cs: 0.8937 0.7874 0.2500  6 Te 3.71-3.81
Te: 0.2625 0.5250 0.1116  1 Mn 2.68
Te: 0.2625 0.5250 0.3884  1 Mn 2.68
Te: 0.7375 0.4750 0.8884  1 Mn 2.68
Pr: 0.3688 0.7377 0.9417  6 Te 3.19-3.25
Pr: 0.6312 0.2623 0.4417  6 Te 3.19-3.25
Mn: 0.8315 0.6631 0.7500  4 Te 2.68-2.73
Pr: 0.6312 0.2623 0.0583  6 Te 3.19-3.25
Te: 0.5749 0.1499 0.2500  2 Mn 2.73
Cs: 0.1063 0.2126 0.7500  6 Te 3.71-3.81
Mn: 0.1685 0.3369 0.2500  4 Te 2.68-2.73
Pr: 0.3688 0.7377 0.5583  6 Te 3.19-3.25
Te: 0.0000 0.0000 0.5000  4 Pr 3.25

Summary:
E = -82.2 eV per cell
formation energy from raw total energies = -1.12 eV per atom
total moment = 8.5 μB per cell
space-group type = Cmcm, No. 63